[1]
## Hg4Se4O9 (GGA-PBEsol)

Data for crystalline Hg4Se4O9 at its relaxed geometry.

Computed properties:
E_tot in eV/atom: -4.39
Formation energy without anion corrections in eV/atom: -0.576
Total magnetization in Bohr magnetons per cell: 0.0

Unit cell a=9.6689 b=10.2752 c=14.8506 alpha=90.00 beta=127.42 gamma=90.00
With the nearest neighbours (Å) after each atom.
Space group P2_1/c (No. 14)
One atom of each set of equivalent atoms:
Hg  0.0292  0.2175  0.0695 x4  3 O 2.23-2.38
Hg  0.1331  0.5896  0.7400 x4  1 O 2.19
Hg  0.1700  0.5428  0.2128 x4  3 O 2.29-2.49, 1 Se 2.54
Hg  0.4547  0.7126  0.7188 x4  1 O 2.14
Se  0.2421  0.0248  0.9999 x4  3 O 1.70-1.77
Se  0.2736  0.5007  0.0287 x4  3 O 1.71-1.73
Se  0.2895  0.2428  0.3454 x4  3 O 1.70-1.75
Se  0.3578  0.7340  0.3353 x4  3 Hg 2.48-2.54
O  0.0831  0.5459  0.3658 x4  1 Se 1.77
O  0.0973  0.1827  0.7318 x4  1 Se 1.75
O  0.1258  0.0397  0.3871 x4  1 Se 1.73
O  0.1435  0.1722  0.9804 x4  1 Se 1.72
O  0.1942  0.0759  0.5928 x4  1 Se 1.73
O  0.2042  0.5652  0.5793 x4  1 Se 1.70
O  0.2341  0.6611  0.0360 x4  1 Se 1.71
O  0.3109  0.1242  0.2749 x4  1 Se 1.70
O  0.4381  0.1424  0.8628 x4  1 Se 1.75



[2]
## Hg2SeO4 (GGA-PBEsol)

Data for crystalline Hg2SeO4 at its relaxed geometry.

Computed properties:
E_tot in eV/atom: -4.21
Formation energy without anion corrections in eV/atom: -0.493
Total magnetization in Bohr magnetons per cell: 0.0

Unit cell a=6.3727 b=4.6623 c=8.5319 alpha=90.00 beta=91.54 gamma=90.00
With the nearest neighbours (Å) after each atom.
Space group P2/c (No. 13)
One atom of each set of equivalent atoms:
Hg  0.1925  0.0615  0.4810 x4  1 O 2.21
Se  0.5000  0.4534  0.2500 x2  4 O 1.65-1.71
O  0.2791  0.3625  0.7414 x4  1 Se 1.65
O  0.4982  0.2310  0.4087 x4  1 Se 1.71



[3]
## HgSe2O (GGA-PBEsol)

Data for crystalline HgSe2O at its relaxed geometry.

Computed properties:
E_tot in eV/atom: -2.76
Formation energy without anion corrections in eV/atom: 0.615
Total magnetization in Bohr magnetons per cell: 0.0

Unit cell a=6.4347 b=6.4347 c=6.4347 alpha=90.00 beta=90.00 gamma=90.00
With the nearest neighbours (Å) after each atom.
Space group Fm-3m (No. 225)
One atom of each set of equivalent atoms:
Hg  0.0000  0.0000  0.0000 x4  8 Se 2.79
Se  0.2500  0.2500  0.2500 x8  4 O 2.79, 4 Hg 2.79
O  0.0000  0.0000  0.5000 x4  8 Se 2.79



[4]
## Hg2SeO3 (GGA-PBEsol)

Data for crystalline Hg2SeO3 at its relaxed geometry.

Computed properties:
E_tot in eV/atom: -4.01
Formation energy without anion corrections in eV/atom: -0.556
Total magnetization in Bohr magnetons per cell: 0.0

Unit cell a=10.6097 b=11.9385 c=7.7655 alpha=90.00 beta=90.00 gamma=90.00
With the nearest neighbours (Å) after each atom.
Space group Ibam (No. 72)
One atom of each set of equivalent atoms:
Hg  0.1667  0.1073  0.2440 x16  1 O 2.22
Se  0.0347  0.3015  0.0000 x8  3 O 1.70-1.74
O  0.0346  0.1730  0.5000 x8  1 Se 1.70
O  0.1367  0.2858  0.1740 x16  1 Se 1.74



[5]
## Hg2SeO3 (GGA-PBEsol)

Data for crystalline Hg2SeO3 at its relaxed geometry.

Computed properties:
E_tot in eV/atom: -4.01
Formation energy without anion corrections in eV/atom: -0.552
Total magnetization in Bohr magnetons per cell: 0.0

Unit cell a=11.2738 b=16.3546 c=5.0197 alpha=90.00 beta=90.00 gamma=90.00
With the nearest neighbours (Å) after each atom.
Space group Cmc2_1 (No. 36)
One atom of each set of equivalent atoms:
Hg  0.1139  0.0840  0.0000 x8  2 O 2.25-2.51
Hg  0.1139  0.2435  0.4803 x8  1 O 2.22
Se  0.1767  0.3944  0.9387 x8  3 O 1.70-1.75
O  0.1895  0.0676  0.5330 x8  1 Se 1.70
O  0.1942  0.3936  0.5950 x8  1 Se 1.74
O  0.1958  0.2907  0.0119 x8  1 Se 1.75



[6]
## HgSeO3 (GGA-PBEsol)

Data for crystalline HgSeO3 at its relaxed geometry.

Computed properties:
E_tot in eV/atom: -4.66
Formation energy without anion corrections in eV/atom: -0.622
Total magnetization in Bohr magnetons per cell: 0.0

Unit cell a=6.1545 b=8.2713 c=5.9048 alpha=90.00 beta=90.00 gamma=90.00
With the nearest neighbours (Å) after each atom.
Space group Pnma (No. 62)
One atom of each set of equivalent atoms:
Hg  0.0000  0.0000  0.0000 x4  2 O 2.11
Se  0.0565  0.2500  0.5002 x4  3 O 1.68-1.76
O  0.1417  0.2500  0.2291 x4  1 Se 1.68
O  0.1983  0.0864  0.6205 x8  1 Se 1.76



[7]
## Hg3Se3O10 (GGA-PBEsol)

Data for crystalline Hg3Se3O10 at its relaxed geometry.

Computed properties:
E_tot in eV/atom: -4.69
Formation energy without anion corrections in eV/atom: -0.585
Total magnetization in Bohr magnetons per cell: 0.0

Unit cell a=8.4277 b=5.3427 c=11.1724 alpha=90.00 beta=108.04 gamma=90.00
With the nearest neighbours (Å) after each atom.
Space group P2_1 (No. 4)
One atom of each set of equivalent atoms:
Hg  0.0059  0.0000  0.1279 x2  4 O 2.23-2.32
Hg  0.0071  0.9986  0.6308 x2  5 O 2.27-2.50
Hg  0.3744  0.4871  0.7026 x2  4 O 2.22-2.34
Se  0.2619  0.9809  0.4618 x2  3 O 1.74-1.75
Se  0.2672  0.0332  0.9243 x2  3 O 1.72-1.75
Se  0.3549  0.4968  0.2168 x2  4 O 1.65-1.71
O  0.1009  0.8717  0.3341 x2  1 Se 1.74
O  0.1190  0.1568  0.9879 x2  1 Se 1.75
O  0.1504  0.8126  0.8179 x2  1 Se 1.75
O  0.1641  0.2271  0.5140 x2  1 Se 1.75
O  0.2247  0.7648  0.5665 x2  1 Se 1.74
O  0.2322  0.3211  0.2742 x2  1 Se 1.66
O  0.2436  0.2776  0.8200 x2  1 Se 1.72
O  0.2548  0.6879  0.1022 x2  1 Se 1.65
O  0.4723  0.6713  0.3404 x2  1 Se 1.71
O  0.4834  0.3111  0.1666 x2  1 Se 1.69



[8]
## Hg3Se4O5 (GGA-PBEsol)

Data for crystalline Hg3Se4O5 at its relaxed geometry.

Computed properties:
E_tot in eV/atom: -4.13
Formation energy without anion corrections in eV/atom: -0.519
Total magnetization in Bohr magnetons per cell: 0.0

Unit cell a=7.5675 b=7.7836 c=9.1078 alpha=93.93 beta=109.57 gamma=107.77
With the nearest neighbours (Å) after each atom.
Space group P-1 (No. 2)
One atom of each set of equivalent atoms:
Hg  0.0052  0.4813  0.2203 x2  3 O 2.53-2.71, 2 Se 2.54
Hg  0.0112  0.9930  0.2720 x2  2 Se 2.53-2.54, 2 O 2.59-2.61
Hg  0.2959  0.8125  0.5930 x2  2 Se 2.53-2.54, 3 O 2.55-2.82
Se  0.2354  0.8483  0.8492 x2  3 Hg 2.54
Se  0.2440  0.8123  0.3040 x2  3 Hg 2.53-2.54
Se  0.3535  0.3628  0.5889 x2  3 O 1.68-1.88
Se  0.3721  0.3352  0.1085 x2  3 O 1.68-1.86
O  0.1632  0.3871  0.0389 x2  1 Se 1.68
O  0.1811  0.4636  0.5252 x2  1 Se 1.68
O  0.2120  0.1413  0.5720 x2  1 Se 1.69
O  0.3729  0.2648  0.2820 x2  1 Se 1.71
O  0.4304  0.4342  0.8093 x2  2 Se 1.86-1.88



Which formula does entry 3 have? HgSe2O



What did the seventh record say?
## Hg3Se3O10 (GGA-PBEsol)

Data for crystalline Hg3Se3O10 at its relaxed geometry.

Computed properties:
E_tot in eV/atom: -4.69
Formation energy without anion corrections in eV/atom: -0.585
Total magnetization in Bohr magnetons per cell: 0.0

Unit cell a=8.4277 b=5.3427 c=11.1724 alpha=90.00 beta=108.04 gamma=90.00
With the nearest neighbours (Å) after each atom.
Space group P2_1 (No. 4)
One atom of each set of equivalent atoms:
Hg  0.0059  0.0000  0.1279 x2  4 O 2.23-2.32
Hg  0.0071  0.9986  0.6308 x2  5 O 2.27-2.50
Hg  0.3744  0.4871  0.7026 x2  4 O 2.22-2.34
Se  0.2619  0.9809  0.4618 x2  3 O 1.74-1.75
Se  0.2672  0.0332  0.9243 x2  3 O 1.72-1.75
Se  0.3549  0.4968  0.2168 x2  4 O 1.65-1.71
O  0.1009  0.8717  0.3341 x2  1 Se 1.74
O  0.1190  0.1568  0.9879 x2  1 Se 1.75
O  0.1504  0.8126  0.8179 x2  1 Se 1.75
O  0.1641  0.2271  0.5140 x2  1 Se 1.75
O  0.2247  0.7648  0.5665 x2  1 Se 1.74
O  0.2322  0.3211  0.2742 x2  1 Se 1.66
O  0.2436  0.2776  0.8200 x2  1 Se 1.72
O  0.2548  0.6879  0.1022 x2  1 Se 1.65
O  0.4723  0.6713  0.3404 x2  1 Se 1.71
O  0.4834  0.3111  0.1666 x2  1 Se 1.69



Among the records above, which one has the highest formation energy without anion corrections? HgSe2O



What is the E_tot in the fourth record? -4.01 eV/atom